## Hf2AlZn6 (GGA-PBE)

Data for a relaxed Hf2AlZn6 crystal.

Summary:
DOS at the Fermi energy = 10.41 states/eV/cell
formation energy from the elements = -0.01 eV per atom
energy = -3.483 eV/atom

Cell lengths 4.3656, 5.4632, 13.4966 Å; angles 90.00, 90.00, 90.00 degrees
Closest atoms and distances in Å follow each position.
Space group Immm (No. 71)
Asymmetric unit:
1 Hf 0.0000 0.0000 0.1073 (multiplicity 4)  10 Zn 2.87-2.93, 1 Hf 2.90, 2 Al 3.09
2 Al 0.0000 0.5000 0.0000 (multiplicity 2)  4 Zn 2.61
3 Zn 0.0000 0.2450 0.3003 (multiplicity 8)  5 Zn 2.57-2.79, 2 Hf 2.87
4 Zn 0.0000 0.2629 0.5000 (multiplicity 4)  4 Zn 2.59-2.87, 2 Al 2.61

***

## TeP (GGA-PBE)

Data for a relaxed TeP crystal.

Summary:
formation energy from raw total energies = 0.3421 eV/atom
DOS at the Fermi energy = 7.92 states/eV/cell
energy = -3.934 eV/atom

Cell lengths 8.5861, 8.5861, 5.7126 Å; angles 90.00, 90.00, 90.00 degrees
Closest atoms and distances in Å follow each position.
Space group I4/m (No. 87)
Asymmetric unit:
1 Te 0.0742 0.2914 0.0000 (multiplicity 8)  4 P 2.65-2.86
2 P 0.0764 0.2954 0.5000 (multiplicity 8)  4 Te 2.65-2.86

***

## Sm6Mg2Os (GGA-PBE)

Data for a relaxed Sm6Mg2Os crystal.

Summary:
DOS at the Fermi energy = 6.44 states/eV/cell
formation energy from the elements = 0.04 eV per atom
energy = -4.706 eV/atom

Cell lengths 6.9149, 5.0509, 8.5209 Å; angles 90.00, 113.88, 90.00 degrees
Closest atoms and distances in Å follow each position.
Space group P2/m (No. 10)
Asymmetric unit:
1 Sm 0.1032 0.0000 0.2077 (multiplicity 2)  1 Os 2.86
2 Sm 0.2394 0.5000 0.5003 (multiplicity 2)  2 Os 3.02, 1 Sm 3.31
3 Sm 0.3957 0.0000 0.7922 (multiplicity 2)  1 Os 2.86
4 Mg 0.2535 0.5000 0.0061 (multiplicity 2)  8 Sm 3.44-3.48, 2 Mg 3.45-3.47
5 Os 0.0000 0.0000 0.5000 (multiplicity 1)  8 Sm 2.86-3.02

***

no.,spin magnetization (μB per formula unit)
1,0.0
2,0.0
3,0.0